14
Lattice="7.656 -2.048 0.000 7.656 2.048 0.000 -5.272 0.000 7.461" Properties=species:S:1:pos:R:3 comment="Ho3Ga7Ni4, optimized geometry, DFT PBE" mass_density_g_cm3=8.64 total_energy_ev_per_atom=-4.743 pbc="T T T"
Ho 0.000 0.000 0.000
Ho 3.136 0.000 2.248
Ho 6.905 0.000 5.213
Ga -2.636 0.000 3.731
Ga 0.194 0.000 3.150
Ga -0.190 0.000 7.234
Ga 3.814 0.000 5.368
Ga 6.227 0.000 2.093
Ga 10.231 0.000 0.227
Ga 9.847 0.000 4.312
Ni -2.590 0.000 6.290
Ni 1.393 0.000 5.344
Ni 8.648 0.000 2.117
Ni 12.631 0.000 1.171

14
Lattice="4.649 -3.577 0.000 4.649 3.577 0.000 -3.004 0.000 10.973" Properties=species:S:1:pos:R:3 comment="Ho5GaNi, optimized geometry, DFT PBE" mass_density_g_cm3=8.67 total_energy_ev_per_atom=-4.667 pbc="T T T"
Ho 2.396 3.450 8.229
Ho 1.942 1.244 1.430
Ho 2.247 1.187 4.846
Ho 0.440 -1.244 6.916
Ho 5.548 1.187 0.641
Ho 0.745 -1.187 10.332
Ho 5.853 1.244 4.057
Ho 4.046 -1.187 6.127
Ho 4.351 -1.244 9.543
Ho 3.898 -3.450 2.743
Ga 2.396 0.548 8.229
Ga 3.898 -0.548 2.743
Ni 0.000 0.000 0.000
Ni -1.502 0.000 5.486

16
Lattice="2.133 -5.043 0.000 2.133 5.043 0.000 0.000 0.000 14.429" Properties=species:S:1:pos:R:3 comment="Ho3Ga3Ni2, optimized geometry, DFT PBE" mass_density_g_cm3=8.79 total_energy_ev_per_atom=-4.924 pbc="T T T"
Ho 2.133 4.175 8.766
Ho 2.133 4.175 12.877
Ho 2.133 1.350 10.822
Ho 2.133 -1.350 3.607
Ho 2.133 -4.175 1.552
Ho 2.133 -4.175 5.662
Ga 2.133 1.647 3.607
Ga 2.133 1.276 7.778
Ga 2.133 1.276 13.866
Ga 2.133 -1.276 0.563
Ga 2.133 -1.276 6.651
Ga 2.133 -1.647 10.822
Ni 2.133 2.981 1.477
Ni 2.133 2.981 5.738
Ni 2.133 -2.981 8.691
Ni 2.133 -2.981 12.952

24
Lattice="6.856 -10.304 0.000 6.856 10.304 0.000 0.000 0.000 3.541" Properties=species:S:1:pos:R:3 comment="Ho11Ga9Ni4, optimized geometry, DFT PBE" mass_density_g_cm3=8.88 total_energy_ev_per_atom=-4.795 pbc="T T T"
Ho 0.000 0.000 0.000
Ho 3.317 3.515 0.000
Ho 6.856 6.891 0.000
Ho 4.232 0.000 0.000
Ho 6.856 2.598 0.000
Ho 3.317 -3.515 0.000
Ho 10.394 3.515 0.000
Ho 6.856 -2.598 0.000
Ho 9.479 0.000 0.000
Ho 6.856 -6.891 0.000
Ho 10.394 -3.515 0.000
Ga 2.030 1.441 1.770
Ga 5.449 4.793 1.770
Ga 2.030 -1.441 1.770
Ga 8.262 4.793 1.770
Ga 6.856 0.000 1.770
Ga 5.449 -4.793 1.770
Ga 11.681 1.441 1.770
Ga 8.262 -4.793 1.770
Ga 11.681 -1.441 1.770
Ni 4.735 2.102 1.770
Ni 4.735 -2.102 1.770
Ni 8.977 2.102 1.770
Ni 8.977 -2.102 1.770

12
Lattice="2.490 1.438 8.128 -2.490 1.438 8.128 0.000 -2.876 8.128" Properties=species:S:1:pos:R:3 comment="Ho3GaNi8, optimized geometry, DFT PBE" mass_density_g_cm3=9.83 total_energy_ev_per_atom=-5.701 pbc="T T T"
Ho 0.000 0.000 0.000
Ho 0.000 0.000 3.146
Ho 0.000 0.000 14.981
Ga 0.000 0.000 11.960
Ni 0.000 -1.449 5.539
Ni -1.255 0.725 5.539
Ni -1.241 -0.716 9.641
Ni 0.000 0.000 7.594
Ni 1.241 -0.716 9.641
Ni 0.000 1.433 9.641
Ni 1.255 0.725 5.539
Ni 0.000 0.000 19.793

8
Lattice="3.691 0.000 0.000 0.000 4.292 0.000 0.000 0.000 10.407" Properties=species:S:1:pos:R:3 comment="Ho4GaNi3, optimized geometry, DFT PBE" mass_density_g_cm3=9.12 total_energy_ev_per_atom=-5.327 pbc="T T T"
Ho 0.000 0.000 0.000
Ho 0.000 2.146 2.763
Ho 1.845 0.000 4.966
Ho 1.845 2.146 8.074
Ga 0.000 0.000 7.279
Ni 0.000 2.146 5.809
Ni 1.845 0.000 2.117
Ni 1.845 2.146 0.629

9
Lattice="0.000 4.583 6.261 2.599 0.000 6.261 2.599 4.583 0.000" Properties=species:S:1:pos:R:3 comment="Ho2Ga4Ni3, optimized geometry, DFT PBE" mass_density_g_cm3=8.74 total_energy_ev_per_atom=-4.807 pbc="T T T"
Ho 2.599 4.583 1.592
Ho 2.599 4.583 10.929
Ga 2.599 3.021 4.252
Ga 2.599 3.021 8.269
Ga 2.599 6.146 4.252
Ga 2.599 6.146 8.269
Ni 1.299 2.292 0.000
Ni 1.299 2.292 6.261
Ni 2.599 4.583 6.261

24
Lattice="11.579 0.000 0.000 0.000 4.267 0.000 0.000 0.000 10.939" Properties=species:S:1:pos:R:3 comment="Ho3Ga2Ni, optimized geometry, DFT PBE" mass_density_g_cm3=8.52 total_energy_ev_per_atom=-4.816 pbc="T T T"
Ho 0.581 1.067 1.418
Ho 1.373 3.200 6.148
Ho 2.614 1.067 8.795
Ho 3.176 3.200 3.326
Ho 4.416 1.067 0.679
Ho 5.208 3.200 6.887
Ho 6.371 1.067 4.052
Ho 7.163 3.200 10.261
Ho 8.403 1.067 7.614
Ho 8.965 3.200 2.144
Ho 10.206 1.067 4.791
Ho 10.998 3.200 9.522
Ga 0.200 3.200 3.410
Ga 2.232 3.200 0.056
Ga 3.557 1.067 5.526
Ga 5.589 1.067 8.880
Ga 5.990 3.200 2.060
Ga 8.022 3.200 5.413
Ga 9.347 1.067 10.883
Ga 11.378 1.067 7.529
Ni 1.428 1.067 4.145
Ni 4.361 3.200 9.615
Ni 7.218 1.067 1.325
Ni 10.151 3.200 6.794

What did the second record say?
14
Lattice="4.649 -3.577 0.000 4.649 3.577 0.000 -3.004 0.000 10.973" Properties=species:S:1:pos:R:3 comment="Ho5GaNi, optimized geometry, DFT PBE" mass_density_g_cm3=8.67 total_energy_ev_per_atom=-4.667 pbc="T T T"
Ho 2.396 3.450 8.229
Ho 1.942 1.244 1.430
Ho 2.247 1.187 4.846
Ho 0.440 -1.244 6.916
Ho 5.548 1.187 0.641
Ho 0.745 -1.187 10.332
Ho 5.853 1.244 4.057
Ho 4.046 -1.187 6.127
Ho 4.351 -1.244 9.543
Ho 3.898 -3.450 2.743
Ga 2.396 0.548 8.229
Ga 3.898 -0.548 2.743
Ni 0.000 0.000 0.000
Ni -1.502 0.000 5.486